No. 1
Here is a relaxed structure of PuMn2Ni from the Alexandria database. Energies are from GGA-PBE.

Cell and atoms, written as CIF:
```
data_PuMn2Ni
_cell_length_a 4.3292
_cell_length_b 4.3292
_cell_length_c 10.9077
_cell_angle_alpha 90.00
_cell_angle_beta 90.00
_cell_angle_gamma 120.00
_symmetry_space_group_name_H-M 'R -3 m'
_symmetry_Int_Tables_number 166
_symmetry_space_group_name_Hall '-R 3 2"'
loop_
_atom_site_label
_atom_site_type_symbol
_atom_site_fract_x
_atom_site_fract_y
_atom_site_fract_z
_atom_site_occupancy
Pu1 Pu 0.0000 0.0000 0.0000 1
Mn1 Mn 0.0000 0.0000 0.2038 1
Ni1 Ni 0.0000 0.0000 0.5000 1
```

Properties
DFT formation energy in eV/atom: 0.1001
Fermi-level density of states in states/eV/atom: 2.273
Final energy in eV for the cell shown: -114.2
Total moment in μB per atom: 0.14
ρ in g/cm³: 11.61

=====

No. 2
Here is a relaxed structure of ZnPdNF2 from the Alexandria database. Energies are from GGA-PBE.

Cell and atoms, written as CIF:
```
data_ZnPdNF2
_cell_length_a 3.864
_cell_length_b 3.864
_cell_length_c 4.254
_cell_angle_alpha 90.00
_cell_angle_beta 90.00
_cell_angle_gamma 90.00
_symmetry_space_group_name_H-M 'P 4/m m m'
_symmetry_Int_Tables_number 123
_symmetry_space_group_name_Hall '-P 4 2'
loop_
_atom_site_label
_atom_site_type_symbol
_atom_site_fract_x
_atom_site_fract_y
_atom_site_fract_z
_atom_site_occupancy
Zn1 Zn 0.000 0.000 0.000 1
Pd1 Pd 0.500 0.500 0.500 1
N1 N 0.000 0.000 0.500 1
F1 F 0.000 0.500 0.000 1
```

Properties
Formation energy from raw total energies in eV/atom: -0.1159
Fermi-level density of states in states/eV/atom: 0.458
Final energy in eV for the cell shown: -19.1
E above lowest polymorph in meV/atom: 0
Total moment in μB per atom: 0.31
ρ in g/cm³: 5.85